[1]
A plane-wave DFT calculation with GGA-PBEsol was carried out for a relaxed structure of ScMnGe.

Summary:
- Energy relative to the elements: -573 meV/atom

```
ScMnGe
1.0
3.8505 0.0000 0.0000
0.0000 6.5115 0.0000
0.0000 -3.2558 5.6391
Ge Mn Sc
3 3 3
Direct
0.5000 0.6667 0.3333 Ge
0.0000 0.0000 0.0000 Ge
0.5000 0.3333 0.6667 Ge
0.5000 0.7704 0.7704 Mn
0.5000 0.2296 0.0000 Mn
0.5000 0.0000 0.2296 Mn
0.0000 0.4163 0.4163 Sc
0.0000 0.5837 0.0000 Sc
0.0000 0.0000 0.5837 Sc
```


[2]
A plane-wave DFT calculation with GGA-PBEsol was carried out for a relaxed structure of ScMnGe3.

Summary:
- Energy relative to the elements: 78 meV/atom

```
ScMnGe3
1.0
4.5274 0.0000 0.0000
0.0000 4.5274 0.0000
0.0000 0.0000 4.5274
Ge Mn Sc
3 1 1
Direct
0.0000 0.0000 0.5000 Ge
0.5000 0.0000 0.0000 Ge
0.0000 0.5000 0.0000 Ge
0.0000 0.0000 0.0000 Mn
0.5000 0.5000 0.5000 Sc
```


[3]
A plane-wave DFT calculation with GGA-PBEsol was carried out for a relaxed structure of MnSi3Ge.

Summary:
- ΔE_f (raw): 1.252 eV per atom

```
MnSi3Ge
1.0
-0.0429 -0.8949 4.6058
3.9522 -2.4892 -0.4468
2.5286 3.8754 0.7766
Mn Si Ge
1 3 1
Direct
0.5000 0.5000 0.5000 Mn
0.5000 0.0000 0.0000 Si
0.0000 0.5000 0.0000 Si
0.0000 0.0000 0.5000 Si
0.0000 0.0000 0.0000 Ge
```


[4]
A plane-wave DFT calculation with GGA-PBEsol was carried out for a relaxed structure of MnSiGe3.

Summary:
- ΔE_f (raw): 0.488 eV per atom

```
MnSiGe3
1.0
-4.0659 -0.8554 -1.8237
-1.3195 -1.9731 3.8672
-1.5220 3.9956 1.5192
Si Ge Mn
1 3 1
Direct
0.5000 0.5000 0.5000 Si
0.0000 0.5000 0.0000 Ge
0.0000 0.0000 0.5000 Ge
0.5000 0.0000 0.0000 Ge
0.0000 0.0000 0.0000 Mn
```


[5]
A plane-wave DFT calculation with GGA-PBEsol was carried out for a relaxed structure of Mn2SiGe.

Summary:
- ΔE_f (raw): -0.161 eV per atom

```
Mn2SiGe
1.0
3.9955 0.0000 0.0000
1.9977 3.4602 0.0000
1.9977 1.1534 3.2623
Si Mn Ge
1 2 1
Direct
0.0000 0.0000 0.0000 Si
0.7500 0.7500 0.7500 Mn
0.2500 0.2500 0.2500 Mn
0.5000 0.5000 0.5000 Ge
```


[6]
A plane-wave DFT calculation with GGA-PBEsol was carried out for a relaxed structure of SmMn2Ge2.

Summary:
- Energy relative to the elements: -477 meV/atom

```
SmMn2Ge2
1.0
3.9191 0.0000 0.0000
0.0000 3.9191 0.0000
-1.9595 -1.9595 5.3589
Ge Mn Sm
2 2 1
Direct
0.6216 0.6216 0.2433 Ge
0.3784 0.3784 0.7567 Ge
0.7500 0.2500 0.5000 Mn
0.2500 0.7500 0.5000 Mn
0.0000 0.0000 0.0000 Sm
```


[7]
A plane-wave DFT calculation with GGA-PBEsol was carried out for a relaxed structure of SmMn6Sn4Ge2.

Summary:
- Energy relative to the elements: -213 meV/atom

```
SmMn6Sn4Ge2
1.0
-3.3445 -3.5282 -2.0503
3.1896 -1.3846 3.9683
-5.9974 2.3977 5.6570
Sn Ge Mn Sm
4 2 6 1
Direct
0.3333 0.6667 0.5000 Sn
0.0000 0.0000 0.6644 Sn
0.0000 0.0000 0.3356 Sn
0.6667 0.3333 0.5000 Sn
0.3333 0.6667 0.0000 Ge
0.6667 0.3333 0.0000 Ge
0.5000 0.5000 0.7660 Mn
0.0000 0.5000 0.2340 Mn
0.5000 0.0000 0.2340 Mn
0.0000 0.5000 0.7660 Mn
0.5000 0.5000 0.2340 Mn
0.5000 0.0000 0.7660 Mn
0.0000 0.0000 0.0000 Sm
```


[8]
A plane-wave DFT calculation with GGA-PBEsol was carried out for a relaxed structure of Mn3SnGe.

Summary:
- Energy relative to the elements: 661 meV/atom

```
Mn3SnGe
1.0
4.5423 0.0000 0.0000
0.0000 4.5423 0.0000
0.0000 0.0000 4.5423
Sn Mn Ge
1 3 1
Direct
0.5000 0.5000 0.5000 Sn
0.0000 0.5000 0.0000 Mn
0.0000 0.0000 0.5000 Mn
0.5000 0.0000 0.0000 Mn
0.0000 0.0000 0.0000 Ge
```


[9]
A plane-wave DFT calculation with GGA-PBEsol was carried out for a relaxed structure of SrMn2Ge2.

Summary:
- Energy relative to the elements: -273 meV/atom

```
SrMn2Ge2
1.0
4.0110 0.0000 0.0000
0.0000 4.0110 0.0000
-2.0055 -2.0055 5.5838
Ge Mn Sr
2 2 1
Direct
0.6318 0.6318 0.2636 Ge
0.3682 0.3682 0.7364 Ge
0.7500 0.2500 0.5000 Mn
0.2500 0.7500 0.5000 Mn
0.0000 0.0000 0.0000 Sr
```


[10]
A plane-wave DFT calculation with GGA-PBEsol was carried out for a relaxed structure of TbMn2Ge2.

Summary:
- Energy relative to the elements: -489 meV/atom

```
TbMn2Ge2
1.0
-2.2531 0.2423 3.1540
-3.1184 -0.8205 -2.1646
3.4143 -4.9056 0.4248
Mn Ge Tb
2 2 1
Direct
0.2500 0.7500 0.5000 Mn
0.7500 0.2500 0.5000 Mn
0.6198 0.6198 0.2395 Ge
0.3802 0.3802 0.7605 Ge
0.0000 0.0000 0.0000 Tb
```


[11]
A plane-wave DFT calculation with GGA-PBEsol was carried out for a relaxed structure of MnTc3Ge.

Summary:
- Energy relative to the elements: 1482 meV/atom

```
MnTc3Ge
1.0
-1.4861 0.5149 -4.1763
-4.1726 -0.7527 1.3920
-0.5438 4.3684 0.7321
Tc Ge Mn
3 1 1
Direct
0.0000 0.5000 0.0000 Tc
0.5000 0.0000 0.0000 Tc
0.0000 0.0000 0.5000 Tc
0.0000 0.0000 0.0000 Ge
0.5000 0.5000 0.5000 Mn
```


[12]
A plane-wave DFT calculation with GGA-PBEsol was carried out for a relaxed structure of MnGeTe2.

Summary:
- ΔE_f (raw): 0.147 eV per atom

```
MnGeTe2
1.0
3.4824 0.0000 0.0000
1.7412 3.0158 0.0000
1.7412 1.0053 9.1099
Te Mn Ge
2 1 1
Direct
0.1075 0.1075 0.6775 Te
0.8925 0.8925 0.3225 Te
0.5000 0.5000 0.5000 Mn
0.0000 0.0000 0.0000 Ge
```


| no. | total magnetic moment (μB per cell) | energy (eV per atom) |
| --- | --- | --- |
| 1 | 6.17 | -7.675 |
| 2 | 1.60 | -6.158 |
| 3 | 4.32 | -5.136 |
| 4 | 2.11 | -5.577 |
| 5 | 0.00 | -7.713 |
| 6 | 3.81 | -7.376 |
| 7 | 12.13 | -7.180 |
| 8 | 10.44 | -7.035 |
| 9 | 4.16 | -6.521 |
| 10 | 3.79 | -7.371 |
| 11 | 1.31 | -8.218 |
| 12 | 2.14 | -5.291 |